Entry 1:
## Mn2Mo (PBE-GGA)

Data for Mn2Mo after structural relaxation.

Calculated formation energy   135 meV per atom
Space-group type   Pnma (62)
Raw total energy   -9.59 eV per atom
Density   8.90 Mg/m³

a b c (Å): 5.036 4.143 7.365
angles (deg): 90.00 90.00 90.00
Sites, in units of the cell vectors:
Mn1 0.024 0.250 0.241
Mn2 0.173 0.250 0.565
Mn3 0.327 0.750 0.065
Mn4 0.476 0.750 0.741
Mn5 0.524 0.250 0.259
Mn6 0.673 0.250 0.935
Mn7 0.827 0.750 0.435
Mn8 0.976 0.750 0.759
Mo1 0.177 0.250 0.905
Mo2 0.323 0.750 0.405
Mo3 0.677 0.250 0.595
Mo4 0.823 0.750 0.095


Entry 2:
## MnMo5 (PBE-GGA)

Data for MnMo5 after structural relaxation.

Calculated formation energy   328 meV per atom
Space-group type   Amm2 (38)
Raw total energy   -10.23 eV per atom
Energy relative to the lowest polymorph listed for this composition   267.3 meV/atom
Density   9.48 Mg/m³

a b c (Å): 4.620 7.950 7.950
angles (deg): 18.70 90.00 90.00
Sites, in units of the cell vectors:
Mn1 0.000 0.000 0.000
Mo1 0.000 0.340 0.340
Mo2 0.000 0.666 0.666
Mo3 0.500 0.097 0.097
Mo4 0.500 0.436 0.436
Mo5 0.500 0.766 0.766


Entry 3:
## MnMo (PBE-GGA)

Data for MnMo after structural relaxation.

Calculated formation energy   1930 meV per atom
Space-group type   I-43m (217)
Raw total energy   -8.07 eV per atom
Density   4.68 Mg/m³

a b c (Å): 6.528 6.528 6.528
angles (deg): 109.47 109.47 109.47
Sites, in units of the cell vectors:
Mn1 0.000 0.000 0.643
Mn2 0.000 0.643 0.000
Mn3 0.357 0.357 0.357
Mn4 0.643 0.000 0.000
Mo1 0.000 0.000 0.270
Mo2 0.000 0.270 0.000
Mo3 0.270 0.000 0.000
Mo4 0.730 0.730 0.730


Entry 4:
## Mn2Mo (PBE-GGA)

Data for Mn2Mo after structural relaxation.

Calculated formation energy   266 meV per atom
Space-group type   Cmcm (63)
Raw total energy   -9.46 eV per atom
Density   8.76 Mg/m³

a b c (Å): 7.261 7.261 4.241
angles (deg): 90.00 90.00 159.57
Sites, in units of the cell vectors:
Mn1 0.043 0.957 0.750
Mn2 0.400 0.600 0.750
Mn3 0.600 0.400 0.250
Mn4 0.957 0.043 0.250
Mo1 0.293 0.707 0.250
Mo2 0.707 0.293 0.750


> Which of these has the lowest raw total energy?

MnMo5